*a*
Computed, not measured: an optimized crystal structure of Ba2LaNi at the GGA-PBE level of DFT.

As for the symmetry: P4mm. The calculation puts the volume at 153.8 Å³/cell.

abc: 3.824 3.824 10.517
angles: 90.00 90.00 90.00
Sites, in units of the cell vectors:
Ba  0.000  0.000  0.000
Ba  0.500  0.500  0.356
La  0.000  0.000  0.670
Ni  0.500  0.500  0.788

---

*b*
Computed, not measured: an optimized crystal structure of Ba2LaNi at the GGA-PBE level of DFT.

As for the symmetry: P4/mmm. The calculation puts the volume at 149.8 Å³/cell.

abc: 3.820 3.820 10.264
angles: 90.00 90.00 90.00
Sites, in units of the cell vectors:
Ba  0.000  0.000  0.179
Ba  0.000  0.000  0.821
La  0.500  0.500  0.500
Ni  0.500  0.500  0.000

---

*c*
Computed, not measured: an optimized crystal structure of Ba2LaNi at the GGA-PBE level of DFT.

As for the symmetry: Immm. The calculation puts the volume at 159.0 Å³/cell.

abc: 10.213 10.213 10.213
angles: 158.59 155.84 32.50
Sites, in units of the cell vectors:
Ba  0.158  0.158  0.000
Ba  0.842  0.842  0.000
La  0.500  0.000  0.500
Ni  0.000  0.500  0.500

---

*d*
Computed, not measured: an optimized crystal structure of Ba2LaNi at the GGA-PBE level of DFT.

As for the symmetry: F-43m. The calculation puts the volume at 132.1 Å³/cell.

abc: 5.717 5.717 5.717
angles: 60.00 60.00 60.00
Sites, in units of the cell vectors:
Ba  0.000  0.000  0.000
Ba  0.250  0.250  0.250
La  0.750  0.750  0.750
Ni  0.500  0.500  0.500

---

Stability summary: most stable *a*, least stable *d*.

---

*a*
Computed, not measured: an optimized crystal structure of Ba2LaNi at the GGA-PBE level of DFT.

As for the symmetry: I4/mmm. The calculation puts the volume at 137.1 Å³/cell.

abc: 6.960 6.960 6.960
angles: 140.17 140.17 57.59
Sites, in units of the cell vectors:
Ba  0.250  0.750  0.500
Ba  0.750  0.250  0.500
La  0.000  0.000  0.000
Ni  0.500  0.500  0.000

---

*b*
Computed, not measured: an optimized crystal structure of Ba2LaNi at the GGA-PBE level of DFT.

As for the symmetry: P4/mmm. The calculation puts the volume at 136.2 Å³/cell.

abc: 4.757 4.757 6.020
angles: 90.00 90.00 90.00
Sites, in units of the cell vectors:
Ba  0.000  0.500  0.000
Ba  0.500  0.000  0.000
La  0.000  0.000  0.500
Ni  0.500  0.500  0.500

---

*c*
Computed, not measured: an optimized crystal structure of Ba2LaNi at the GGA-PBE level of DFT.

As for the symmetry: I-4m2. The calculation puts the volume at 139.3 Å³/cell.

abc: 6.876 6.876 6.876
angles: 138.85 138.85 59.60
Sites, in units of the cell vectors:
Ba  0.000  0.000  0.000
Ba  0.750  0.250  0.500
La  0.250  0.750  0.500
Ni  0.500  0.500  0.000

---

Stability summary: most stable *a*, least stable *c*.

---

*a*
Computed, not measured: an optimized crystal structure of Ba2LaNi at the GGA-PBE level of DFT.

As for the symmetry: P2/m. The calculation puts the volume at 163.1 Å³/cell.

abc: 5.690 4.531 6.812
angles: 90.00 111.79 90.00
Sites, in units of the cell vectors:
Ba  0.161  0.000  0.314
Ba  0.839  0.000  0.686
La  0.500  0.500  0.000
Ni  0.000  0.500  0.000

---

*b*
Computed, not measured: an optimized crystal structure of Ba2LaNi at the GGA-PBE level of DFT.

As for the symmetry: Cm. The calculation puts the volume at 158.2 Å³/cell.

abc: 7.234 7.234 6.483
angles: 116.55 116.55 31.78
Sites, in units of the cell vectors:
Ba  0.000  0.000  0.000
Ba  0.175  0.175  0.675
La  0.830  0.830  0.331
Ni  0.471  0.471  0.485

---

*c*
Computed, not measured: an optimized crystal structure of Ba2LaNi at the GGA-PBE level of DFT.

As for the symmetry: Fm-3m. The calculation puts the volume at 133.7 Å³/cell.

abc: 5.740 5.740 5.740
angles: 60.00 60.00 60.00
Sites, in units of the cell vectors:
Ba  0.250  0.250  0.250
Ba  0.750  0.750  0.750
La  0.000  0.000  0.000
Ni  0.500  0.500  0.500

---

Stability summary: most stable *b*, least stable *c*.

---

*a*
Computed, not measured: an optimized crystal structure of BaLa2Ni2 at the GGA-PBE level of DFT.

As for the symmetry: I4/mmm. The calculation puts the volume at 138.2 Å³/cell.

abc: 6.429 6.429 6.429
angles: 133.32 133.32 68.15
Sites, in units of the cell vectors:
Ba  0.000  0.000  0.000
La  0.250  0.750  0.500
La  0.750  0.250  0.500
Ni  0.386  0.386  0.000
Ni  0.614  0.614  0.000

---

*b*
Computed, not measured: an optimized crystal structure of BaLa2Ni2 at the GGA-PBE level of DFT.

As for the symmetry: P4/mbm. The calculation puts the volume at 256.8 Å³/cell.

abc: 8.577 8.577 3.491
angles: 90.00 90.00 90.00
Sites, in units of the cell vectors:
Ba  0.000  0.000  0.000
Ba  0.500  0.500  0.000
La  0.140  0.360  0.000
La  0.360  0.860  0.000
La  0.640  0.140  0.000
La  0.860  0.640  0.000
Ni  0.150  0.650  0.500
Ni  0.350  0.150  0.500
Ni  0.650  0.850  0.500
Ni  0.850  0.350  0.500

---

Stability summary: most stable *a*, least stable *b*.

---

*a*
Computed, not measured: an optimized crystal structure of BaLa2Ni2 at the GGA-PBE level of DFT.

As for the symmetry: I4/mmm. The calculation puts the volume at 158.5 Å³/cell.

abc: 6.896 6.896 6.896
angles: 135.57 135.57 64.65
Sites, in units of the cell vectors:
Ba  0.000  0.000  0.000
La  0.324  0.324  0.000
La  0.676  0.676  0.000
Ni  0.250  0.750  0.500
Ni  0.750  0.250  0.500

---

*b*
Computed, not measured: an optimized crystal structure of BaLa2Ni2 at the GGA-PBE level of DFT.

As for the symmetry: P4/mbm. The calculation puts the volume at 273.6 Å³/cell.

abc: 8.225 8.225 4.044
angles: 90.00 90.00 90.00
Sites, in units of the cell vectors:
Ba  0.000  0.000  0.000
Ba  0.500  0.500  0.000
La  0.153  0.347  0.500
La  0.347  0.847  0.500
La  0.653  0.153  0.500
La  0.847  0.653  0.500
Ni  0.110  0.610  0.000
Ni  0.390  0.110  0.000
Ni  0.610  0.890  0.000
Ni  0.890  0.390  0.000

---

Stability summary: most stable *b*, least stable *a*.

---

*a*
Computed, not measured: an optimized crystal structure of BaSrLa2Ni at the GGA-PBE level of DFT.

As for the symmetry: P4/mmm. The calculation puts the volume at 198.9 Å³/cell.

abc: 5.631 5.631 6.273
angles: 90.00 90.00 90.00
Sites, in units of the cell vectors:
Ba  0.000  0.000  0.000
Sr  0.500  0.500  0.000
La  0.000  0.500  0.500
La  0.500  0.000  0.500
Ni  0.500  0.500  0.500

---

*b*
Computed, not measured: an optimized crystal structure of BaSrLa2Ni at the GGA-PBE level of DFT.

As for the symmetry: P4/mmm. The calculation puts the volume at 203.9 Å³/cell.

abc: 5.610 5.610 6.479
angles: 90.00 90.00 90.00
Sites, in units of the cell vectors:
Ba  0.000  0.000  0.000
Sr  0.500  0.500  0.000
La  0.000  0.500  0.500
La  0.500  0.000  0.500
Ni  0.000  0.000  0.500

---

Stability summary: most stable *a*, least stable *b*.

---

*a*
Computed, not measured: an optimized crystal structure of Ba2LaTaNi at the GGA-PBE level of DFT.

As for the symmetry: P4/mmm. The calculation puts the volume at 185.4 Å³/cell.

abc: 5.863 5.863 5.394
angles: 90.00 90.00 90.00
Sites, in units of the cell vectors:
Ba  0.000  0.500  0.000
Ba  0.500  0.000  0.000
La  0.000  0.000  0.500
Ta  0.500  0.500  0.500
Ni  0.000  0.000  0.000

---

*b*
Computed, not measured: an optimized crystal structure of Ba2LaTaNi at the GGA-PBE level of DFT.

As for the symmetry: P4/mmm. The calculation puts the volume at 178.2 Å³/cell.

abc: 6.103 6.103 4.785
angles: 90.00 90.00 90.00
Sites, in units of the cell vectors:
Ba  0.000  0.500  0.000
Ba  0.500  0.000  0.000
La  0.000  0.000  0.500
Ta  0.500  0.500  0.500
Ni  0.500  0.500  0.000

---

Stability summary: most stable *b*, least stable *a*.

---

*a*
Computed, not measured: an optimized crystal structure of BaLaO at the GGA-PBE level of DFT.

As for the symmetry: P-6m2. The calculation puts the volume at 109.5 Å³/cell.

abc: 4.049 4.049 7.710
angles: 90.00 90.00 120.00
Sites, in units of the cell vectors:
Ba  0.000  0.000  0.000
La  0.667  0.333  0.500
O  0.333  0.667  0.500

---

*b*
Computed, not measured: an optimized crystal structure of BaLaO at the GGA-PBE level of DFT.

As for the symmetry: P4/nmm. The calculation puts the volume at 232.0 Å³/cell.

abc: 4.240 4.240 12.902
angles: 90.00 90.00 90.00
Sites, in units of the cell vectors:
Ba  0.250  0.250  0.136
Ba  0.750  0.750  0.864
La  0.250  0.250  0.586
La  0.750  0.750  0.414
O  0.250  0.750  0.500
O  0.750  0.250  0.500

---

Stability summary: most stable *b*, least stable *a*.